Material: CuHgPt2
Method: DFT, PBE-GGA
State: optimized geometry

```
CuHgPt2
1.0
2.8642 -3.8847 0.0000
2.8642 3.8847 0.0000
0.0000 0.0000 2.9176
Cu Hg Pt
1 1 2
Direct
0.0000 0.0000 0.0000
0.5000 0.5000 0.0000
0.0000 0.5000 0.5000
0.5000 0.0000 0.5000
```

## Properties
SG: Cmmm
ΔE_f, eV per atom: 0.02